[1]
# Cs2IrBrCl6 (PBE-GGA, relaxed)
# DFT total energy in eV per cell: -66.15
# Uncorrected formation energy in kJ/mol of atoms: -94.1
# Energy above the most stable polymorph in this dataset in eV/atom: 0.023
# Theoretical density in g/cm3: 3.66
# Total moment in μB per formula unit: 2.000
data_Cs2IrBrCl6
_chemical_formula_sum 'Cs4 Ir2 Br2 Cl12'
_space_group_name_H-M_alt 'I 4/m m m'
_space_group_IT_number 139
_space_group_name_Hall '-I 4 2'
_cell_length_a 7.797
_cell_length_b 7.797
_cell_length_c 11.196
_cell_angle_alpha 90.00
_cell_angle_beta 90.00
_cell_angle_gamma 90.00
loop_
_atom_site_label
_atom_site_type_symbol
_atom_site_fract_x
_atom_site_fract_y
_atom_site_fract_z
Cs1 Cs 0.000 0.500 0.250
Ir1 Ir 0.000 0.000 0.000
Br1 Br 0.000 0.000 0.500
Cl1 Cl 0.000 0.000 0.209
Cl2 Cl 0.213 0.213 0.000

=====

[2]
# Zr2ScZn3 (PBE-GGA, relaxed)
# DFT total energy in eV per cell: -29.07
# Theoretical density in g/cm3: 6.28
# Total moment in μB per formula unit: 0.000
# Energy of formation from the pure elements in meV/atom: -303
data_Zr2ScZn3
_chemical_formula_sum 'Zr2 Sc1 Zn3'
_space_group_name_H-M_alt 'P 4/m m m'
_space_group_IT_number 123
_space_group_name_Hall '-P 4 2'
_cell_length_a 3.337
_cell_length_b 3.337
_cell_length_c 10.055
_cell_angle_alpha 90.00
_cell_angle_beta 90.00
_cell_angle_gamma 90.00
loop_
_atom_site_label
_atom_site_type_symbol
_atom_site_fract_x
_atom_site_fract_y
_atom_site_fract_z
Zr1 Zr 0.000 0.000 0.167
Sc1 Sc 0.000 0.000 0.500
Zn1 Zn 0.500 0.500 0.000
Zn2 Zn 0.500 0.500 0.337

=====

[3]
# TbYCdCu (PBE-GGA, relaxed)
# DFT total energy in eV per cell: -68.17
# Energy above the most stable polymorph in this dataset in eV/atom: 0.042
# Theoretical density in g/cm3: 7.34
# Total moment in μB per formula unit: 0.000
# Energy of formation from the pure elements in meV/atom: -234
data_TbYCdCu
_chemical_formula_sum 'Tb4 Y4 Cd4 Cu4'
_space_group_name_H-M_alt 'F -4 3 m'
_space_group_IT_number 216
_space_group_name_Hall 'F -4 2 3'
_cell_length_a 7.265
_cell_length_b 7.265
_cell_length_c 7.265
_cell_angle_alpha 90.00
_cell_angle_beta 90.00
_cell_angle_gamma 90.00
loop_
_atom_site_label
_atom_site_type_symbol
_atom_site_fract_x
_atom_site_fract_y
_atom_site_fract_z
Tb1 Tb 0.000 0.000 0.000
Y1 Y 0.000 0.000 0.500
Cd1 Cd 0.250 0.250 0.250
Cu1 Cu 0.250 0.250 0.750

=====

[4]
# PmCrB14 (PBE-GGA, relaxed)
# DFT total energy in eV per cell: -441.18
# Theoretical density in g/cm3: 4.42
# Total moment in μB per formula unit: 2.824
# Energy of formation from the pure elements in meV/atom: -152
data_PmCrB14
_chemical_formula_sum 'Pm4 Cr4 B56'
_space_group_name_H-M_alt 'I m m a'
_space_group_IT_number 74
_space_group_name_Hall '-I 2b 2'
_cell_length_a 5.862
_cell_length_b 10.800
_cell_length_c 8.270
_cell_angle_alpha 90.00
_cell_angle_beta 90.00
_cell_angle_gamma 90.00
loop_
_atom_site_label
_atom_site_type_symbol
_atom_site_fract_x
_atom_site_fract_y
_atom_site_fract_z
Pm1 Pm 0.000 0.250 0.128
Cr1 Cr 0.250 0.250 0.750
B1 B 0.000 0.083 0.669
B2 B 0.000 0.127 0.867
B3 B 0.000 0.167 0.469
B4 B 0.160 0.062 0.340
B5 B 0.248 0.077 0.549

=====

[5]
# Rb2Sc3Cl10 (PBE-GGA, relaxed)
# DFT total energy in eV per cell: -279.95
# Uncorrected formation energy in kJ/mol of atoms: -196.8
# Theoretical density in g/cm3: 2.60
# Total moment in μB per formula unit: 1.097
data_Rb2Sc3Cl10
_chemical_formula_sum 'Rb8 Sc12 Cl40'
_space_group_name_H-M_alt 'C 1 2/m 1'
_space_group_IT_number 12
_cell_length_a 24.145
_cell_length_b 7.396
_cell_length_c 10.161
_cell_angle_alpha 90.00
_cell_angle_beta 111.87
_cell_angle_gamma 90.00
loop_
_space_group_symop_operation_xyz
'x,y,z'
'-x,-y,-z'
'-x,y,-z'
'x,-y,z'
'x+1/2,y+1/2,z'
'-x+1/2,-y+1/2,-z'
'-x+1/2,y+1/2,-z'
'x+1/2,-y+1/2,z'
loop_
_atom_site_label
_atom_site_type_symbol
_atom_site_fract_x
_atom_site_fract_y
_atom_site_fract_z
Rb1 Rb 0.119 0.000 0.229
Rb2 Rb 0.226 0.000 0.830
Sc1 Sc 0.000 0.257 0.500
Sc2 Sc 0.079 0.500 0.980
Sc3 Sc 0.182 0.500 0.527
Cl1 Cl 0.000 0.275 0.000
Cl2 Cl 0.016 0.000 0.677
Cl3 Cl 0.021 0.500 0.698
Cl4 Cl 0.110 0.252 0.536
Cl5 Cl 0.130 0.500 0.252
Cl6 Cl 0.142 0.257 0.968
Cl7 Cl 0.235 0.500 0.780
Cl8 Cl 0.250 0.250 0.500

=====

[6]
# Ti2ZnCl (PBE-GGA, relaxed)
# DFT total energy in eV per cell: -74.31
# Uncorrected formation energy in kJ/mol of atoms: 8.0
# Energy above the most stable polymorph in this dataset in eV/atom: 0.000
# Theoretical density in g/cm3: 5.05
# Total moment in μB per formula unit: 0.815
data_Ti2ZnCl
_chemical_formula_sum 'Ti8 Zn4 Cl4'
_space_group_name_H-M_alt 'F m -3 m'
_space_group_IT_number 225
_space_group_name_Hall '-F 4 2 3'
_cell_length_a 6.373
_cell_length_b 6.373
_cell_length_c 6.373
_cell_angle_alpha 90.00
_cell_angle_beta 90.00
_cell_angle_gamma 90.00
loop_
_atom_site_label
_atom_site_type_symbol
_atom_site_fract_x
_atom_site_fract_y
_atom_site_fract_z
Ti1 Ti 0.250 0.250 0.250
Zn1 Zn 0.000 0.000 0.000
Cl1 Cl 0.000 0.000 0.500

=====

[7]
# BaFe2Ru (PBE-GGA, relaxed)
# DFT total energy in eV per cell: -25.70
# Theoretical density in g/cm3: 7.54
# Total moment in μB per formula unit: 5.601
# Energy of formation from the pure elements in meV/atom: 606
data_BaFe2Ru
_chemical_formula_sum 'Ba1 Fe2 Ru1'
_space_group_name_H-M_alt 'P 4 m m'
_space_group_IT_number 99
_cell_length_a 3.198
_cell_length_b 3.198
_cell_length_c 7.540
_cell_angle_alpha 90.00
_cell_angle_beta 90.00
_cell_angle_gamma 90.00
loop_
_space_group_symop_operation_xyz
'x,y,z'
'-y,x,z'
'-x,-y,z'
'y,-x,z'
'-x,y,z'
'y,x,z'
'x,-y,z'
'-y,-x,z'
loop_
_atom_site_label
_atom_site_type_symbol
_atom_site_fract_x
_atom_site_fract_y
_atom_site_fract_z
Ba1 Ba 0.000 0.000 0.000
Fe1 Fe 0.000 0.000 0.504
Fe2 Fe 0.500 0.500 0.349
Ru1 Ru 0.500 0.500 0.665

=====

[8]
# BeCrBi2Ir (PBE-GGA, relaxed)
# DFT total energy in eV per cell: -23.78
# Theoretical density in g/cm3: 9.45
# Total moment in μB per formula unit: 0.002
# Energy of formation from the pure elements in meV/atom: 1239
data_BeCrBi2Ir
_chemical_formula_sum 'Be1 Cr1 Bi2 Ir1'
_space_group_name_H-M_alt 'P 4/m m m'
_space_group_IT_number 123
_space_group_name_Hall '-P 4 2'
_cell_length_a 5.076
_cell_length_b 5.076
_cell_length_c 4.576
_cell_angle_alpha 90.00
_cell_angle_beta 90.00
_cell_angle_gamma 90.00
loop_
_atom_site_label
_atom_site_type_symbol
_atom_site_fract_x
_atom_site_fract_y
_atom_site_fract_z
Be1 Be 0.000 0.000 0.000
Cr1 Cr 0.500 0.500 0.500
Bi1 Bi 0.000 0.500 0.500
Ir1 Ir 0.500 0.500 0.000

=====

[9]
# MgCrOs (PBE-GGA, relaxed)
# DFT total energy in eV per cell: -44.70
# Energy above the most stable polymorph in this dataset in eV/atom: 0.000
# Theoretical density in g/cm3: 9.71
# Total moment in μB per formula unit: 0.000
# Energy of formation from the pure elements in meV/atom: 33
data_MgCrOs
_chemical_formula_sum 'Mg2 Cr2 Os2'
_space_group_name_H-M_alt 'P 4/n m m'
_space_group_IT_number 129
_cell_length_a 2.961
_cell_length_b 2.961
_cell_length_c 10.402
_cell_angle_alpha 90.00
_cell_angle_beta 90.00
_cell_angle_gamma 90.00
loop_
_space_group_symop_operation_xyz
'x,y,z'
'-x,-y,-z'
'-y+1/2,x,z'
'y+1/2,-x,-z'
'-x+1/2,-y+1/2,z'
'x+1/2,y+1/2,-z'
'y,-x+1/2,z'
'-y,x+1/2,-z'
'x+1/2,-y,-z'
'-x+1/2,y,z'
'-y,-x,-z'
'y,x,z'
'-x,y+1/2,-z'
'x,-y+1/2,z'
'y+1/2,x+1/2,-z'
'-y+1/2,-x+1/2,z'
loop_
_atom_site_label
_atom_site_type_symbol
_atom_site_fract_x
_atom_site_fract_y
_atom_site_fract_z
Mg1 Mg 0.250 0.250 0.119
Cr1 Cr 0.250 0.250 0.432
Os1 Os 0.250 0.250 0.700

=====

[10]
# SiRhPb (PBE-GGA, relaxed)
# DFT total energy in eV per cell: -65.89
# Uncorrected formation energy in kJ/mol of atoms: 0.3
# Theoretical density in g/cm3: 9.23
# Total moment in μB per formula unit: 0.000
data_SiRhPb
_chemical_formula_sum 'Si4 Rh4 Pb4'
_space_group_name_H-M_alt 'F -4 3 m'
_space_group_IT_number 216
_space_group_name_Hall 'F -4 2 3'
_cell_length_a 6.244
_cell_length_b 6.244
_cell_length_c 6.244
_cell_angle_alpha 90.00
_cell_angle_beta 90.00
_cell_angle_gamma 90.00
loop_
_atom_site_label
_atom_site_type_symbol
_atom_site_fract_x
_atom_site_fract_y
_atom_site_fract_z
Si1 Si 0.000 0.000 0.000
Rh1 Rh 0.250 0.250 0.750
Pb1 Pb 0.000 0.000 0.500

=====

[11]
# Ac2SbSe (PBE-GGA, relaxed)
# DFT total energy in eV per cell: -21.05
# Uncorrected formation energy in kJ/mol of atoms: -126.0
# Energy above the most stable polymorph in this dataset in eV/atom: 0.251
# Theoretical density in g/cm3: 8.61
# Total moment in μB per formula unit: 0.000
data_Ac2SbSe
_chemical_formula_sum 'Ac2 Sb1 Se1'
_space_group_name_H-M_alt 'P 4/m m m'
_space_group_IT_number 123
_space_group_name_Hall '-P 4 2'
_cell_length_a 3.985
_cell_length_b 3.985
_cell_length_c 7.955
_cell_angle_alpha 90.00
_cell_angle_beta 90.00
_cell_angle_gamma 90.00
loop_
_atom_site_label
_atom_site_type_symbol
_atom_site_fract_x
_atom_site_fract_y
_atom_site_fract_z
Ac1 Ac 0.000 0.000 0.250
Sb1 Sb 0.500 0.500 0.000
Se1 Se 0.500 0.500 0.500

=====

[12]
# HoBRh3 (PBE-GGA, relaxed)
# DFT total energy in eV per cell: -37.35
# Theoretical density in g/cm3: 10.88
# Total moment in μB per formula unit: 0.000
# Energy of formation from the pure elements in meV/atom: -808
data_HoBRh3
_chemical_formula_sum 'Ho1 B1 Rh3'
_space_group_name_H-M_alt 'P m -3 m'
_space_group_IT_number 221
_space_group_name_Hall '-P 4 2 3'
_cell_length_a 4.197
_cell_length_b 4.197
_cell_length_c 4.197
_cell_angle_alpha 90.00
_cell_angle_beta 90.00
_cell_angle_gamma 90.00
loop_
_atom_site_label
_atom_site_type_symbol
_atom_site_fract_x
_atom_site_fract_y
_atom_site_fract_z
Ho1 Ho 0.000 0.000 0.000
B1 B 0.500 0.500 0.500
Rh1 Rh 0.000 0.500 0.500